(1)
Material: BaLiMg2
Method: DFT, PBE-GGA
State: optimized geometry

Calculated values
ΔE_f ... 0.25 eV per formula unit
Fermi-level density of states ... 2.095 states/eV/atom
Polymorph energy (0 for the lowest one) ... 106.5 meV/atom
Size of the total moment ... 0.000 μB/f.u.
Total DFT energy (no corrections) ... -27.1 eV per cell

Cell lengths 7.990, 7.990, 7.990 Å; angles 90.00, 90.00, 90.00 degrees
Space group Fm-3m (No. 225)
One atom of each set of equivalent atoms:
Ba 0.000 0.000 0.000
Li 0.000 0.000 0.500
Mg 0.250 0.250 0.250



(2)
Material: GaAgPd2
Method: DFT, PBE-GGA
State: optimized geometry

Calculated values
ΔE_f ... -1.73 eV per formula unit
Fermi-level density of states ... 0.249 states/eV/atom
Size of the total moment ... 0.000 μB/f.u.
Total DFT energy (no corrections) ... -18.0 eV per cell

Cell lengths 2.960, 2.960, 7.163 Å; angles 90.00, 90.00, 90.00 degrees
Space group P4/mmm (No. 123)
One atom of each set of equivalent atoms:
Ga 0.000 0.000 0.000
Ag 0.000 0.000 0.500
Pd 0.500 0.500 0.218



(3)
Material: Zr3P
Method: DFT, PBE-GGA
State: optimized geometry

Calculated values
ΔE_f ... -0.89 eV per formula unit
Fermi-level density of states ... 1.252 states/eV/atom
Polymorph energy (0 for the lowest one) ... 640.6 meV/atom
Size of the total moment ... 0.000 μB/f.u.
Total DFT energy (no corrections) ... -95.8 eV per cell

Cell lengths 9.3013, 9.3013, 3.2238 Å; angles 90.00, 90.00, 120.00 degrees
Space group R-3m (No. 166, hexagonal axes)
One atom of each set of equivalent atoms:
Zr 0.0000 0.5000 0.0000
P 0.0000 0.0000 0.0000



(4)
Material: Lu2IrOs
Method: DFT, PBE-GGA
State: optimized geometry

Calculated values
ΔE_f ... -2.44 eV per formula unit
Fermi-level density of states ... 0.539 states/eV/atom
Size of the total moment ... 0.000 μB/f.u.
Total DFT energy (no corrections) ... -31.6 eV per cell

Cell lengths 3.342, 3.342, 6.689 Å; angles 90.00, 90.00, 90.00 degrees
Space group P4/mmm (No. 123)
One atom of each set of equivalent atoms:
Lu 0.000 0.000 0.245
Ir 0.500 0.500 0.500
Os 0.500 0.500 0.000



(5)
Material: AcAl2Ga4Pd
Method: DFT, PBE-GGA
State: optimized geometry

Calculated values
ΔE_f ... -2.55 eV per formula unit
Fermi-level density of states ... 0.389 states/eV/atom
Size of the total moment ... 0.000 μB/f.u.
Total DFT energy (no corrections) ... -94.3 eV per cell

Cell lengths 4.5746, 4.5746, 26.8691 Å; angles 90.00, 90.00, 120.00 degrees
Space group R-3m (No. 166, hexagonal axes)
One atom of each set of equivalent atoms:
Ac 0.0000 0.0000 0.0000
Al 0.0000 0.0000 0.2401
Ga 0.0000 0.0000 0.1352
Ga 0.0000 0.0000 0.4038
Pd 0.0000 0.0000 0.5000



(6)
Material: SrLa2Pt
Method: DFT, PBE-GGA
State: optimized geometry

Calculated values
ΔE_f ... -0.42 eV per formula unit
Fermi-level density of states ... 1.188 states/eV/atom
Polymorph energy (0 for the lowest one) ... 469.5 meV/atom
Size of the total moment ... 0.013 μB/f.u.
Total DFT energy (no corrections) ... -72.0 eV per cell

Cell lengths 7.685, 7.685, 7.685 Å; angles 90.00, 90.00, 90.00 degrees
Space group F-43m (No. 216)
One atom of each set of equivalent atoms:
Sr 0.000 0.000 0.000
La 0.000 0.000 0.500
La 0.250 0.250 0.250
Pt 0.250 0.250 0.750



(7)
Material: LiCdNO2
Method: DFT, PBE-GGA
State: optimized geometry

Calculated values
Raw formation energy ... 0.580 eV per atom
Fermi-level density of states ... 0.685 states/eV/atom
Size of the total moment ... 2.811 μB/f.u.
Total DFT energy (no corrections) ... -18.2 eV per cell

Cell lengths 4.264, 4.264, 4.286 Å; angles 90.00, 90.00, 90.00 degrees
Space group P4/mmm (No. 123)
One atom of each set of equivalent atoms:
Li 0.000 0.000 0.000
Cd 0.500 0.500 0.500
N 0.500 0.500 0.000
O 0.000 0.500 0.500



(8)
Material: LiMg3H
Method: DFT, PBE-GGA
State: optimized geometry

Calculated values
Fermi-level density of states ... 0.320 states/eV/atom
Polymorph energy (0 for the lowest one) ... 0.0 meV/atom
Size of the total moment ... 0.000 μB/f.u.
Total DFT energy (no corrections) ... -9.9 eV per cell

Cell lengths 4.434, 4.434, 4.434 Å; angles 90.00, 90.00, 90.00 degrees
Space group Pm-3m (No. 221)
One atom of each set of equivalent atoms:
Li 0.000 0.000 0.000
Mg 0.000 0.500 0.500
H 0.500 0.500 0.500



What is the formula in the sixth record?
SrLa2Pt



What did the sixth record say?
Material: SrLa2Pt
Method: DFT, PBE-GGA
State: optimized geometry

Calculated values
ΔE_f ... -0.42 eV per formula unit
Fermi-level density of states ... 1.188 states/eV/atom
Polymorph energy (0 for the lowest one) ... 469.5 meV/atom
Size of the total moment ... 0.013 μB/f.u.
Total DFT energy (no corrections) ... -72.0 eV per cell

Cell lengths 7.685, 7.685, 7.685 Å; angles 90.00, 90.00, 90.00 degrees
Space group F-43m (No. 216)
One atom of each set of equivalent atoms:
Sr 0.000 0.000 0.000
La 0.000 0.000 0.500
La 0.250 0.250 0.250
Pt 0.250 0.250 0.750



Number 7 is which compound?
LiCdNO2